Record 1
Below is an optimized crystal structure of ErPaN2, with properties calculated at the PBE-GGA level.

abc: 6.2875 6.2875 6.2875
angles: 31.22 31.22 31.22
Element x y z (fractional)
Er 0.0000 0.0000 0.0000
Pa 0.1750 0.1750 0.1750
N 0.4243 0.4243 0.4243
N 0.5922 0.5922 0.5922

Computed properties:
As for the space group: R3m, No. 160. For the electronic total energy, the calculation gives -9.1265 eV per atom. The calculation puts the calculated volume at 59.27 Å³ per cell.

***

Record 2
Below is an optimized crystal structure of ErPa2N4, with properties calculated at the PBE-GGA level.

abc: 6.2171 6.2171 6.0298
angles: 116.47 116.47 32.69
Element x y z (fractional)
Er 0.0000 0.0000 0.0000
Pa 0.2999 0.2999 0.2994
Pa 0.7001 0.7001 0.7006
N 0.1440 0.1440 0.4325
N 0.3489 0.3489 0.9851
N 0.6511 0.6511 0.0149
N 0.8560 0.8560 0.5675

Computed properties:
As for the space group: C2/m, No. 12. For the electronic total energy, the calculation gives -9.6313 eV per atom. The calculation puts the calculated volume at 111.47 Å³ per cell.

***

Record 3
Below is an optimized crystal structure of Er5Pa3N12, with properties calculated at the PBE-GGA level.

abc: 11.5881 11.5881 11.5881
angles: 109.47 109.47 109.47
Element x y z (fractional)
Er 0.0000 0.0000 0.0000
Er 0.0000 0.0000 0.5000
Er 0.0000 0.5000 0.0000
Er 0.0000 0.5000 0.5000
Er 0.1250 0.7500 0.8750
Er 0.1250 0.8750 0.2500
Er 0.2500 0.1250 0.8750
Er 0.2500 0.6250 0.3750
Er 0.3750 0.2500 0.6250
Er 0.3750 0.6250 0.7500
Er 0.5000 0.0000 0.0000
Er 0.5000 0.0000 0.5000
Er 0.5000 0.5000 0.0000
Er 0.5000 0.5000 0.5000
Er 0.6250 0.3750 0.2500
Er 0.6250 0.7500 0.3750
Er 0.7500 0.3750 0.6250
Er 0.7500 0.8750 0.1250
Er 0.8750 0.1250 0.7500
Er 0.8750 0.2500 0.1250
Pa 0.1250 0.2500 0.3750
Pa 0.1250 0.3750 0.7500
Pa 0.2500 0.3750 0.1250
Pa 0.2500 0.8750 0.6250
Pa 0.3750 0.1250 0.2500
Pa 0.3750 0.7500 0.1250
Pa 0.6250 0.2500 0.8750
Pa 0.6250 0.8750 0.7500
Pa 0.7500 0.1250 0.3750
Pa 0.7500 0.6250 0.8750
Pa 0.8750 0.6250 0.2500
Pa 0.8750 0.7500 0.6250
N 0.0605 0.2348 0.1341
N 0.0605 0.3257 0.9264
N 0.0736 0.6341 0.3993
N 0.0736 0.9395 0.6743
N 0.1007 0.7348 0.6743
N 0.1007 0.8659 0.4264
N 0.1341 0.0605 0.2348
N 0.1341 0.5736 0.8993
N 0.1743 0.2348 0.6007
N 0.1743 0.4395 0.5736
N 0.2348 0.1341 0.0605
N 0.2348 0.6007 0.1743
N 0.2652 0.3257 0.8993
N 0.2652 0.4395 0.3659
N 0.3257 0.8993 0.2652
N 0.3257 0.9264 0.0605
N 0.3659 0.2652 0.4395
N 0.3659 0.6007 0.9264
N 0.3993 0.0736 0.6341
N 0.3993 0.8257 0.7652
N 0.4264 0.1007 0.8659
N 0.4264 0.8257 0.5605
N 0.4395 0.3659 0.2652
N 0.4395 0.5736 0.1743
N 0.5605 0.4264 0.8257
N 0.5605 0.6341 0.7348
N 0.5736 0.1743 0.4395
N 0.5736 0.8993 0.1341
N 0.6007 0.1743 0.2348
N 0.6007 0.9264 0.3659
N 0.6341 0.3993 0.0736
N 0.6341 0.7348 0.5605
N 0.6743 0.0736 0.9395
N 0.6743 0.1007 0.7348
N 0.7348 0.5605 0.6341
N 0.7348 0.6743 0.1007
N 0.7652 0.3993 0.8257
N 0.7652 0.8659 0.9395
N 0.8257 0.5605 0.4264
N 0.8257 0.7652 0.3993
N 0.8659 0.4264 0.1007
N 0.8659 0.9395 0.7652
N 0.8993 0.1341 0.5736
N 0.8993 0.2652 0.3257
N 0.9264 0.0605 0.3257
N 0.9264 0.3659 0.6007
N 0.9395 0.6743 0.0736
N 0.9395 0.7652 0.8659

Computed properties:
As for the space group: Ia-3d, No. 230. For the electronic total energy, the calculation gives -8.5034 eV per atom. The calculation puts the calculated volume at 1197.89 Å³ per cell.

***

We obtain energy relative to the elements, uncorrected values of -5.8, -10.6, -18.9 eV/f.u. for the records listed above, in that order.